# LaSi2Ni | the Alexandria database | PBE-GGA | relaxed
# * energy: -0.3989 Ry per atom
# * calculated volume: 149.31 Å³/cell
# * magnetic moment: 0.00 μB/cell
data_LaSi2Ni
_cell_length_a 4.3138
_cell_length_b 4.3138
_cell_length_c 8.0239
_cell_angle_alpha 90.00
_cell_angle_beta 90.00
_cell_angle_gamma 90.00
_symmetry_space_group_name_H-M 'I -4 m 2'
_symmetry_Int_Tables_number 119
_symmetry_space_group_name_Hall 'I -4 -2'
loop_
_atom_site_label
_atom_site_type_symbol
_atom_site_fract_x
_atom_site_fract_y
_atom_site_fract_z
La1 La 0.0000 0.0000 0.0000
Si1 Si 0.0000 0.0000 0.5000
Si2 Si 0.0000 0.5000 0.2500
Ni1 Ni 0.0000 0.5000 0.7500